VASP calculation (PBE with a Hubbard U) on an optimized crystal structure of PmTl2Ni3F12.

```
PmTl2Ni3F12
1.0
6.732 -0.411 -0.291
2.967 6.056 -0.291
2.967 1.727 5.812
F Ni Tl Pm
12 3 2 1
direct
0.109 0.748 0.748
0.252 0.252 0.891
0.849 0.849 0.422
0.151 0.151 0.578
0.151 0.578 0.151
0.891 0.252 0.252
0.849 0.422 0.849
0.748 0.109 0.748
0.252 0.891 0.252
0.748 0.748 0.109
0.422 0.849 0.849
0.578 0.151 0.151
0.500 0.000 0.000
0.000 0.500 0.000
0.000 0.000 0.500
0.606 0.606 0.606
0.394 0.394 0.394
0.000 0.000 0.000
```

Summary:
- electronic total energy (Ry/atom) = -0.34073
- size of the total moment (μB/atom) = 0.279